VASP calculation (PBE+U) on a geometry-optimized Co2NiRuO6 structure.

Cell and atoms, written as CIF:
```
data_Co2NiRuO6
_chemical_formula_sum 'Co2 Ni1 Ru1 O6'
_cell_length_a 4.9788
_cell_length_b 4.9788
_cell_length_c 5.3555
_cell_angle_alpha 62.30
_cell_angle_beta 62.30
_cell_angle_gamma 60.00
_space_group_name_H-M_alt 'P 1'
_space_group_IT_number 1
_space_group_name_Hall 'P 1'
loop_
_atom_site_label
_atom_site_type_symbol
_atom_site_fract_x
_atom_site_fract_y
_atom_site_fract_z
_atom_site_occupancy
O1 O 0.6144 0.2333 0.2462 1
Co1 Co 0.5164 0.5164 0.4507 1
O2 O 0.9060 0.6144 0.2462 1
Ru1 Ru 0.3193 0.3194 0.0418 1
O3 O 0.1239 0.3938 0.7520 1
O4 O 0.3938 0.7303 0.7519 1
O5 O 0.7303 0.1240 0.7519 1
Co2 Co 0.0114 0.0114 0.9659 1
O6 O 0.2334 0.9060 0.2461 1
Ni1 Ni 0.8125 0.8125 0.5624 1
```

Values from the calculation:
**E_tot**: -6.042 eV/atom
**SG**: R3 (146)
**ρ**: 6.396 g/cm3